Compound: MgTa3B
Source: the Alexandria database
Functional: PBE
Structure: optimized geometry

Output
E = -8.682 eV/atom
offset from the most stable computed form = 0.000 eV/atom
space group = Pm-3m, No. 221
magnetization = 0.00 μB/cell

Unit cell a=4.4018 b=4.4018 c=4.4018 alpha=90.00 beta=90.00 gamma=90.00
Element x y z (fractional)
Mg (0.0000, 0.0000, 0.0000)
Ta (0.0000, 0.5000, 0.5000)
Ta (0.5000, 0.0000, 0.5000)
Ta (0.5000, 0.5000, 0.0000)
B (0.5000, 0.5000, 0.5000)